1.
An optimized crystal structure of Ho3Zn7Ga2, computed with GGA-PBE. Values from VASP.

```
&SYSTEM
  ibrav = 0, nat = 12, ntyp = 3
/
ATOMIC_SPECIES
Zn 65.41 Zn.upf
Ho 164.93 Ho.upf
Ga 69.72 Ga.upf
CELL_PARAMETERS angstrom
4.103 0.000 0.000
0.000 4.103 0.000
-2.051 -2.051 14.007
ATOMIC_POSITIONS crystal
Zn 0.772 0.772 0.545
Zn 0.228 0.228 0.455
Zn 0.000 0.000 0.000
Zn 0.578 0.078 0.157
Zn 0.078 0.578 0.157
Zn 0.922 0.422 0.843
Zn 0.422 0.922 0.843
Ho 0.665 0.665 0.329
Ho 0.335 0.335 0.671
Ho 0.500 0.500 0.000
Ga 0.863 0.863 0.726
Ga 0.137 0.137 0.274
```

Computed properties:
As for the calculated formation energy: -281 kJ/mol of formula units.

2.
An optimized crystal structure of MnReTc2, computed with GGA-PBE. Values from VASP.

```
&SYSTEM
  ibrav = 0, nat = 4, ntyp = 3
/
ATOMIC_SPECIES
Mn 54.94 Mn.upf
Re 186.21 Re.upf
Tc 98.00 Tc.upf
CELL_PARAMETERS angstrom
8.874 -0.002 -0.001
8.454 2.697 -0.001
8.454 1.314 2.355
ATOMIC_POSITIONS crystal
Mn 0.250 0.250 0.250
Re 0.750 0.750 0.750
Tc 0.997 0.997 0.997
Tc 0.503 0.503 0.503
```

Computed properties:
As for the calculated formation energy: 49 kJ/mol of formula units.

3.
An optimized crystal structure of ZnInGeO2, computed with GGA-PBE. Values from VASP.

```
&SYSTEM
  ibrav = 0, nat = 5, ntyp = 4
/
ATOMIC_SPECIES
In 114.82 In.upf
O 16.00 O.upf
Zn 65.41 Zn.upf
Ge 72.64 Ge.upf
CELL_PARAMETERS angstrom
-1.298 -3.356 -1.949
2.848 -3.143 3.516
-3.253 -0.179 2.476
ATOMIC_POSITIONS crystal
In 0.000 0.000 0.000
O 0.500 0.000 0.000
O 0.000 0.000 0.500
Zn 0.000 0.500 0.000
Ge 0.500 0.500 0.500
```

Computed properties:
As for the formation energy (no corrections): -0.023 eV/atom.

4.
An optimized crystal structure of In2AsCl, computed with GGA-PBE. Values from VASP.

```
&SYSTEM
  ibrav = 0, nat = 4, ntyp = 3
/
ATOMIC_SPECIES
In 114.82 In.upf
Cl 35.45 Cl.upf
As 74.92 As.upf
CELL_PARAMETERS angstrom
4.243 0.000 0.000
0.000 4.243 0.000
0.000 0.000 5.892
ATOMIC_POSITIONS crystal
In 0.500 0.500 0.375
In 0.000 0.000 0.875
Cl 0.500 0.500 0.875
As 0.000 0.000 0.375
```

Computed properties:
The energy above the most stable polymorph in this dataset comes out at 0.000 eV/f.u. As for the formation energy (no corrections): -0.377 eV/atom.

5.
An optimized crystal structure of TmNi6, computed with GGA-PBE. Values from VASP.

```
&SYSTEM
  ibrav = 0, nat = 7, ntyp = 2
/
ATOMIC_SPECIES
Ni 58.69 Ni.upf
Tm 168.93 Tm.upf
CELL_PARAMETERS angstrom
-3.775 2.795 2.420
-3.697 -2.797 -2.535
-0.060 -3.504 3.954
ATOMIC_POSITIONS crystal
Ni 0.803 0.500 0.500
Ni 0.500 0.500 0.803
Ni 0.500 0.803 0.500
Ni 0.500 0.197 0.500
Ni 0.197 0.500 0.500
Ni 0.500 0.500 0.197
Tm 0.000 0.000 0.000
```

Computed properties:
As for the calculated formation energy: 650 kJ/mol of formula units. The energy above the most stable polymorph in this dataset comes out at 8.322 eV/f.u.

6.
An optimized crystal structure of BeMo3, computed with GGA-PBE. Values from VASP.

```
&SYSTEM
  ibrav = 0, nat = 4, ntyp = 2
/
ATOMIC_SPECIES
Mo 95.94 Mo.upf
Be 9.01 Be.upf
CELL_PARAMETERS angstrom
-2.640 -4.357 0.356
2.505 0.846 -4.369
2.140 1.774 4.284
ATOMIC_POSITIONS crystal
Mo 0.500 0.500 0.000
Mo 0.000 0.500 0.500
Mo 0.500 0.000 0.500
Be 0.000 0.000 0.000
```

Computed properties:
As for the calculated formation energy: 58 kJ/mol of formula units. The energy above the most stable polymorph in this dataset comes out at 0.657 eV/f.u.

Table of ρ (g cm⁻³), in record order: 7.692 12.865 5.128 5.323 5.866 8.439